Density functional theory data (PBE) for an optimized crystal structure of Sr2Zn3InAu4.

Cell: 4.5115 4.5115 11.2470 Å, 90.00 90.00 90.00°
With the nearest neighbours (Å) after each atom.
Space group P-4m2 (No. 115)
Asymmetric unit:
Sr (0.0000, 0.5000, 0.2382) (multiplicity 2)  8 Au 3.44-3.50, 6 Zn 3.44-3.71, 2 In 3.71
Zn (0.0000, 0.5000, 0.8773) (multiplicity 2)  5 Au 2.58-2.64
Zn (0.5000, 0.5000, 0.5000) (multiplicity 1)  4 Au 2.80
In (0.0000, 0.0000, 0.5000) (multiplicity 1)  4 Au 2.80
Au (0.0000, 0.0000, 0.0000) (multiplicity 1)  4 Zn 2.64
Au (0.0000, 0.5000, 0.6477) (multiplicity 2)  3 Zn 2.58-2.80, 2 In 2.80
Au (0.5000, 0.5000, 0.0000) (multiplicity 1)  4 Zn 2.64

## Properties
The formation energy is -513 meV per atom. The total magnetization is 0.00 μB/f.u. Its final energy is -28.164 eV per cell.

=====

Density functional theory data (PBE) for an optimized crystal structure of MgBe2Au6.

Cell: 9.3437 4.5726 8.1123 Å, 90.00 123.26 90.00°
With the nearest neighbours (Å) after each atom.
Space group C2/m (No. 12)
Asymmetric unit:
Mg (0.0000, 0.0000, 0.0000) (multiplicity 2)  8 Au 2.74-2.94, 4 Be 3.05
Be (0.0943, 0.5000, 0.2914) (multiplicity 4)  6 Au 2.45-2.60
Au (0.0966, 0.0000, 0.4110) (multiplicity 4)  3 Be 2.48-2.55
Au (0.1555, 0.5000, 0.6844) (multiplicity 4)  1 Be 2.45
Au (0.1845, 0.5000, 0.0592) (multiplicity 4)  2 Be 2.45-2.60, 2 Mg 2.74

## Properties
The formation energy is -190 meV per atom. The total magnetization is 0.00 μB/f.u. Its final energy is -60.847 eV per cell. For the energy above the lowest structure with this stoichiometry, the calculation gives 50 meV per atom.

=====

Density functional theory data (PBE) for an optimized crystal structure of Dy3Er5Tl.

Cell: 11.9532 11.2450 10.1186 Å, 90.00 109.22 90.00°
With the nearest neighbours (Å) after each atom.
Space group C2/m (No. 12)
Asymmetric unit:
Dy (0.0000, 0.0000, 0.0000) (multiplicity 2)  2 Dy 3.16, 2 Tl 3.27, 2 Er 3.42
Dy (0.0004, 0.0000, 0.3128) (multiplicity 4)  4 Er 3.08-3.21, 1 Dy 3.16
Dy (0.0000, 0.5000, 0.5000) (multiplicity 2)  4 Er 3.03-3.39, 2 Tl 3.20, 2 Dy 3.33
Dy (0.0035, 0.5000, 0.1720) (multiplicity 4)  1 Tl 3.06, 3 Er 3.29-3.40, 1 Dy 3.33
Er (0.0000, 0.2306, 0.5000) (multiplicity 4)  3 Dy 3.03-3.21
Er (0.1857, 0.2407, 0.2950) (multiplicity 8)  1 Tl 3.02, 1 Er 3.27
Er (0.2363, 0.0000, 0.5572) (multiplicity 4)  3 Dy 3.08-3.40, 2 Er 3.27
Er (0.2505, 0.0000, 0.9072) (multiplicity 4)  4 Dy 3.09-3.42, 1 Tl 3.20
Tl (0.2329, 0.5000, 0.7709) (multiplicity 4)  3 Er 3.02-3.20, 3 Dy 3.06-3.27

## Properties
The formation energy is 398 meV per atom. The total magnetization is 0.00 μB/f.u. Its final energy is -141.624 eV per cell.

=====

Density functional theory data (PBE) for an optimized crystal structure of ErBe4Au12.

Cell: 8.4370 8.4370 8.4370 Å, 90.00 90.00 90.00°
With the nearest neighbours (Å) after each atom.
Space group Im-3 (No. 204)
Asymmetric unit:
Er (0.0000, 0.0000, 0.0000) (multiplicity 2)  12 Au 3.13
Be (0.2500, 0.2500, 0.2500) (multiplicity 8)  6 Au 2.32
Au (0.0000, 0.1692, 0.3302) (multiplicity 24)  2 Be 2.32

## Properties
The formation energy is -119 meV per atom. The total magnetization is 0.00 μB/f.u. Its final energy is -121.633 eV per cell.

=====

Density functional theory data (PBE) for an optimized crystal structure of CaMg4Pd2.

Cell: 8.1489 8.1489 4.4986 Å, 90.00 90.00 90.00°
With the nearest neighbours (Å) after each atom.
Space group P4_2/mnm (No. 136)
Asymmetric unit:
Ca (0.0000, 0.0000, 0.0000) (multiplicity 2)  2 Pd 3.08
Mg (0.0872, 0.3364, 0.5000) (multiplicity 8)  3 Pd 2.74, 2 Mg 2.87-3.02
Pd (0.2326, 0.7674, 0.5000) (multiplicity 4)  6 Mg 2.74

## Properties
The formation energy is -487 meV per atom. The total magnetization is 0.00 μB/f.u. Its final energy is -44.346 eV per cell.

=====

Density functional theory data (PBE) for an optimized crystal structure of HfZrAs2.

Cell: 6.7050 6.7050 6.7050 Å, 90.00 90.00 90.00°
With the nearest neighbours (Å) after each atom.
Space group Fm-3m (No. 225)
Asymmetric unit:
Hf (0.0000, 0.0000, 0.0000) (multiplicity 4)  8 As 2.90
Zr (0.0000, 0.0000, 0.5000) (multiplicity 4)  8 As 2.90
As (0.2500, 0.2500, 0.2500) (multiplicity 8)  4 Zr 2.90, 4 Hf 2.90

## Properties
The formation energy is -744 meV per atom. The total magnetization is 0.00 μB/f.u. Its final energy is -123.104 eV per cell. For the energy above the lowest structure with this stoichiometry, the calculation gives 315 meV per atom.

=====

Density functional theory data (PBE) for an optimized crystal structure of Mo8Os.

Cell: 9.4600 9.4600 3.1582 Å, 90.00 90.00 90.00°
With the nearest neighbours (Å) after each atom.
Space group I4/mmm (No. 139)
Asymmetric unit:
Mo (0.0000, 0.3315, 0.0000) (multiplicity 8)  8 Mo 2.72-2.75
Mo (0.1677, 0.1677, 0.5000) (multiplicity 8)  6 Mo 2.71-2.72, 2 Os 2.74
Os (0.0000, 0.0000, 0.0000) (multiplicity 2)  8 Mo 2.74

## Properties
The formation energy is 53 meV per atom. The total magnetization is 0.00 μB/f.u. Its final energy is -194.810 eV per cell.

=====

Density functional theory data (PBE) for an optimized crystal structure of AlOs2Au.

Cell: 2.8084 4.6442 4.7422 Å, 90.00 92.44 90.00°
With the nearest neighbours (Å) after each atom.
Space group P2/m (No. 10)
Asymmetric unit:
Al (0.0000, 0.0000, 0.0000) (multiplicity 1)  4 Os 2.67, 4 Au 2.70-2.81, 2 Al 2.81
Os (0.2395, 0.5000, 0.7667) (multiplicity 2)  5 Os 2.60-2.81, 2 Al 2.67, 2 Au 2.76
Au (0.5000, 0.0000, 0.5000) (multiplicity 1)  4 Al 2.70-2.81, 4 Os 2.76, 2 Au 2.81

## Properties
The formation energy is 329 meV per atom. The total magnetization is 0.00 μB/f.u. Its final energy is -28.163 eV per cell.

=====

Density functional theory data (PBE) for an optimized crystal structure of RbCoTc2H.

Cell: 4.4201 4.4201 6.9981 Å, 90.00 90.00 90.00°
With the nearest neighbours (Å) after each atom.
Space group P4/mmm (No. 123)
Asymmetric unit:
Rb (0.0000, 0.0000, 0.0000) (multiplicity 1)  4 H 3.13, 2 Co 3.50
Co (0.0000, 0.0000, 0.5000) (multiplicity 1)  4 Tc 2.21
Tc (0.0000, 0.5000, 0.5000) (multiplicity 2)  2 Co 2.21
H (0.5000, 0.5000, 0.0000) (multiplicity 1)  4 Rb 3.13

## Properties
The total magnetization is 4.90 μB/f.u. Its final energy is -23.875 eV per cell.

=====

Density functional theory data (PBE) for an optimized crystal structure of Tl3GaCl4.

Cell: 7.0042 12.0697 6.4586 Å, 90.00 90.00 90.00°
With the nearest neighbours (Å) after each atom.
Space group Imm2 (No. 44)
Asymmetric unit:
Tl (0.0000, 0.0000, 0.0000) (multiplicity 2)  4 Cl 2.97-3.11
Tl (0.0000, 0.2112, 0.5297) (multiplicity 4)  3 Cl 2.96-3.23
Ga (0.0000, 0.5000, 0.1503) (multiplicity 2)  2 Cl 2.52
Cl (0.0000, 0.2542, 0.0783) (multiplicity 4)  2 Tl 2.96-3.11, 1 Ga 3.00
Cl (0.2440, 0.0000, 0.3761) (multiplicity 4)  1 Ga 2.52

## Properties
The calculation puts the formation energy (no corrections) at -0.88 eV per atom. The total magnetization is 0.00 μB/f.u. Its final energy is -49.077 eV per cell. For the energy above the lowest structure with this stoichiometry, the calculation gives 47 meV per atom.

=====

Density functional theory data (PBE) for an optimized crystal structure of CrTc2Ge.

Cell: 4.1246 4.1246 12.7051 Å, 90.00 90.00 120.00°
With the nearest neighbours (Å) after each atom.
Space group R3m (No. 160, hexagonal axes)
Asymmetric unit:
Cr (0.0000, 0.0000, 0.0000) (multiplicity 3)  4 Tc 2.52-2.70, 1 Ge 2.53
Tc (0.0000, 0.0000, 0.6016) (multiplicity 3)  1 Tc 2.36, 3 Cr 2.52, 3 Ge 2.54
Tc (0.0000, 0.0000, 0.7876) (multiplicity 3)  1 Tc 2.36, 3 Ge 2.58
Ge (0.0000, 0.0000, 0.1993) (multiplicity 3)  1 Cr 2.53, 6 Tc 2.54-2.58

## Properties
The formation energy is 276 meV per atom. The total magnetization is 0.00 μB/f.u. Its final energy is -101.602 eV per cell.

=====

Density functional theory data (PBE) for an optimized crystal structure of BaPbAu4.

Cell: 4.4480 7.8251 8.9610 Å, 90.00 90.00 90.00°
With the nearest neighbours (Å) after each atom.
Space group Immm (No. 71)
Asymmetric unit:
Ba (0.0000, 0.0000, 0.0000) (multiplicity 2)  12 Au 3.44-3.51
Pb (0.0000, 0.5000, 0.0000) (multiplicity 2)  8 Au 3.11
Au (0.0000, 0.2069, 0.3383) (multiplicity 8)  3 Au 2.81-2.90, 2 Pb 3.11

## Properties
The formation energy is -373 meV per atom. The total magnetization is 0.00 μB/f.u. Its final energy is -41.958 eV per cell. For the energy above the lowest structure with this stoichiometry, the calculation gives 0 meV per atom.